a) This record from Alexandria describes a relaxed structure of Li4Ag3Au4. The functional is PBE-GGA.

Cell and atoms, written as CIF:
```
data_Li4Ag3Au4
_chemical_formula_sum 'Li8 Ag6 Au8'
_cell_length_a 2.875
_cell_length_b 7.702
_cell_length_c 16.669
_cell_angle_alpha 90.00
_cell_angle_beta 90.00
_cell_angle_gamma 90.00
_space_group_name_H-M_alt 'I m m m'
_space_group_IT_number 71
_space_group_name_Hall '-I 2 2'
loop_
_atom_site_label
_atom_site_fract_x
_atom_site_fract_y
_atom_site_fract_z
Li1 0.000 0.000 0.245
Li2 0.000 0.197 0.000
Ag1 0.000 0.000 0.500
Ag2 0.000 0.500 0.396
Au1 0.000 0.313 0.145
```



b) This record from Alexandria describes a relaxed structure of Li4Ag3Au4. The functional is PBE-GGA.

Cell and atoms, written as CIF:
```
data_Li4Ag3Au4
_chemical_formula_sum 'Li8 Ag6 Au8'
_cell_length_a 4.021
_cell_length_b 6.858
_cell_length_c 13.897
_cell_angle_alpha 90.00
_cell_angle_beta 90.00
_cell_angle_gamma 90.00
_space_group_name_H-M_alt 'I m m m'
_space_group_IT_number 71
_space_group_name_Hall '-I 2 2'
loop_
_atom_site_label
_atom_site_fract_x
_atom_site_fract_y
_atom_site_fract_z
Li1 0.000 0.208 0.172
Ag1 0.000 0.000 0.376
Ag2 0.000 0.500 0.500
Au1 0.000 0.299 0.000
Au2 0.000 0.500 0.285
```



The energetic minimum among the shown structures is a); the next structure lies 52 meV/atom above.